DFT (GGA-PBEsol) results for an optimized crystal structure of Re2SiPb.

```
12
Lattice="2.914 0.000 0.000 -1.457 2.524 0.000 0.000 0.000 26.830" Properties=species:S:1:pos:R:3 pbc="T T T"
Re 0.000 0.000 6.349
Re 0.000 0.000 20.481
Re 0.000 1.682 11.538
Re 0.000 1.682 24.236
Re 1.457 0.841 2.594
Re 1.457 0.841 15.293
Si 0.000 0.000 13.415
Si 0.000 1.682 4.472
Si 1.457 0.841 22.358
Pb 0.000 0.000 0.000
Pb 0.000 1.682 17.887
Pb 1.457 0.841 8.943
```

Values from the calculation:
density = 15.344 g cm⁻³
uncorrected energy = -8.520 eV/atom
total magnetization = 0.0 μB/cell
relative energy among the computed polymorphs = 28 meV per atom
ΔE_f (raw) = 0.58 eV per atom

***

DFT (GGA-PBEsol) results for an optimized crystal structure of LiRuBr.

```
12
Lattice="2.973 0.000 0.000 0.000 5.340 0.000 0.000 0.000 12.571" Properties=species:S:1:pos:R:3 pbc="T T T"
Li 0.000 0.000 0.000
Li 0.000 2.670 6.286
Li 1.487 0.000 6.286
Li 1.487 2.670 0.000
Ru 0.000 0.000 8.453
Ru 0.000 2.670 2.167
Ru 1.487 0.000 2.167
Ru 1.487 2.670 8.453
Br 0.000 0.000 4.141
Br 0.000 2.670 10.427
Br 1.487 0.000 10.427
Br 1.487 2.670 4.141
```

Values from the calculation:
density = 6.254 g cm⁻³
uncorrected energy = -4.206 eV/atom
total magnetization = 0.0 μB/cell
ΔE_f (raw) = 0.46 eV per atom

***

DFT (GGA-PBEsol) results for an optimized crystal structure of LaCd2Ni.

```
16
Lattice="6.964 0.000 0.000 0.000 6.964 0.000 0.000 0.000 6.964" Properties=species:S:1:pos:R:3 pbc="T T T"
La 0.000 0.000 0.000
La 0.000 3.482 3.482
La 3.482 0.000 3.482
La 3.482 3.482 0.000
Cd 0.000 0.000 3.482
Cd 0.000 3.482 0.000
Cd 1.741 1.741 1.741
Cd 1.741 5.223 5.223
Cd 3.482 0.000 0.000
Cd 3.482 3.482 3.482
Cd 5.223 1.741 5.223
Cd 5.223 5.223 1.741
Ni 1.741 1.741 5.223
Ni 1.741 5.223 1.741
Ni 5.223 1.741 1.741
Ni 5.223 5.223 5.223
```

Values from the calculation:
density = 8.308 g cm⁻³
uncorrected energy = -3.596 eV/atom
total magnetization = 0.0 μB/cell
formation enthalpy at 0 K = -0.487 eV/f.u.